Record 1
A plane-wave DFT calculation with PBE was carried out for an optimized crystal structure of Pm3P2N. Values from VASP.

Summary:
Space-group type: No. 15
Crystal system: monoclinic
Final energy (eV/cell): -83.57
V (Å³/cell): 270

```
&SYSTEM
  ibrav = 0, nat = 12, ntyp = 3
/
ATOMIC_SPECIES
Pm 145.00 Pm.upf
P 30.97 P.upf
N 14.01 N.upf
CELL_PARAMETERS angstrom
6.2775 -2.9040 0.0000
6.2775 2.9040 0.0000
-2.4264 0.0000 7.4029
ATOMIC_POSITIONS angstrom
Pm 4.4576 2.6470 5.5522
Pm 3.3774 0.0063 3.1477
Pm 2.1642 -0.0063 6.8492
Pm 7.9643 0.0063 0.5537
Pm 6.7511 -0.0063 4.2551
Pm 5.6709 -2.6470 1.8507
P 1.9495 0.0249 0.6323
P 0.7363 -0.0249 4.3337
P 9.3922 0.0249 3.0691
P 8.1790 -0.0249 6.7706
N 4.4576 0.2865 5.5522
N 5.6709 -0.2865 1.8507
```


Record 2
A plane-wave DFT calculation with PBE was carried out for an optimized crystal structure of Pm4PN2. Values from VASP.

Summary:
Space-group type: No. 141
Crystal system: tetragonal
Final energy (eV/cell): -97.69
V (Å³/cell): 301

```
&SYSTEM
  ibrav = 0, nat = 14, ntyp = 3
/
ATOMIC_SPECIES
Pm 145.00 Pm.upf
P 30.97 P.upf
N 14.01 N.upf
CELL_PARAMETERS angstrom
-4.2567 4.2567 4.1466
4.2567 -4.2567 4.1466
4.2567 4.2567 -4.1466
ATOMIC_POSITIONS angstrom
Pm 2.6818 2.1284 -0.2596
Pm 5.8316 2.1284 -0.2596
Pm 0.0000 0.5534 1.8137
Pm 4.2567 0.5534 2.3329
Pm 0.0000 3.7033 1.8137
Pm 4.2567 3.7033 2.3329
Pm -1.5749 2.1284 4.4062
Pm 1.5749 2.1284 4.4062
P 4.2567 -2.1284 3.1099
P 0.0000 6.3851 1.0366
N 4.2567 0.0000 0.0000
N -2.1284 2.1284 2.0733
N 0.0000 0.0000 4.1466
N 2.1284 2.1284 2.0733
```


Record 3
A plane-wave DFT calculation with PBE was carried out for an optimized crystal structure of Pm2P2N7. Values from VASP.

Summary:
Space-group type: No. 12
Crystal system: monoclinic
Final energy (eV/cell): -83.01
V (Å³/cell): 137

```
&SYSTEM
  ibrav = 0, nat = 11, ntyp = 3
/
ATOMIC_SPECIES
Pm 145.00 Pm.upf
P 30.97 P.upf
N 14.01 N.upf
CELL_PARAMETERS angstrom
3.5732 -5.4859 0.0000
3.5732 5.4859 0.0000
-1.5504 0.0000 3.5048
ATOMIC_POSITIONS angstrom
Pm 3.5732 3.0442 0.0000
Pm 3.5732 -3.0442 0.0000
P 1.2118 0.0000 1.9599
P 4.3842 0.0000 1.5448
N 0.5914 0.0000 0.1903
N 0.6272 1.4477 2.3821
N 0.6272 -1.4477 2.3821
N 2.7980 0.0000 1.7524
N 4.9688 1.4477 1.1227
N 4.9688 -1.4477 1.1227
N 5.0045 0.0000 3.3145
```


Record 4
A plane-wave DFT calculation with PBE was carried out for an optimized crystal structure of Pm3PN5. Values from VASP.

Summary:
Space-group type: No. 140
Crystal system: tetragonal
Final energy (eV/cell): -143.42
V (Å³/cell): 242

```
&SYSTEM
  ibrav = 0, nat = 18, ntyp = 3
/
ATOMIC_SPECIES
Pm 145.00 Pm.upf
P 30.97 P.upf
N 14.01 N.upf
CELL_PARAMETERS angstrom
-3.3468 3.3468 5.4025
3.3468 -3.3468 5.4025
3.3468 3.3468 -5.4025
ATOMIC_POSITIONS angstrom
Pm 4.5513 1.2045 0.0000
Pm 0.0000 0.0000 2.7013
Pm 1.2045 2.1422 0.0000
Pm 2.1422 1.2045 5.4025
Pm 0.0000 0.0000 8.1038
Pm -1.2045 2.1422 5.4025
P 3.3468 0.0000 2.7013
P 0.0000 3.3468 2.7013
N 0.0000 0.0000 0.0000
N 4.2558 -0.9090 1.6659
N 2.4378 -0.9090 3.7366
N 2.4378 0.9090 1.6659
N 4.2558 0.9090 3.7366
N 0.0000 0.0000 5.4025
N -0.9090 2.4378 1.6659
N 0.9090 2.4378 3.7366
N 0.9090 4.2558 1.6659
N -0.9090 4.2558 3.7366
```


Record 5
A plane-wave DFT calculation with PBE was carried out for an optimized crystal structure of Pm2PN4. Values from VASP.

Summary:
Space-group type: No. 11
Crystal system: monoclinic
Final energy (eV/cell): -110.24
V (Å³/cell): 198

```
&SYSTEM
  ibrav = 0, nat = 14, ntyp = 3
/
ATOMIC_SPECIES
Pm 145.00 Pm.upf
P 30.97 P.upf
N 14.01 N.upf
CELL_PARAMETERS angstrom
5.4640 0.0000 0.0000
0.0000 5.6143 0.0000
-2.2072 0.0000 6.4627
ATOMIC_POSITIONS angstrom
Pm 0.9659 1.4036 0.2105
Pm 0.3375 1.4036 3.6797
Pm 2.9193 4.2107 2.7830
Pm 2.2909 4.2107 6.2521
P -0.4189 4.2107 5.0956
P 3.6757 1.4036 1.3670
N -1.3658 2.9092 4.7716
N -1.3658 5.5123 4.7716
N 2.0186 4.2107 0.2898
N 0.9781 4.2107 4.2326
N 2.2787 1.4036 2.2301
N 1.2382 1.4036 6.1729
N 4.6226 0.1020 1.6910
N 4.6226 2.7052 1.6910
```


Record 6
A plane-wave DFT calculation with PBE was carried out for an optimized crystal structure of Pm4P2N. Values from VASP.

Summary:
Space-group type: No. 139
Crystal system: tetragonal
Final energy (eV/cell): -45.47
V (Å³/cell): 167

```
&SYSTEM
  ibrav = 0, nat = 7, ntyp = 3
/
ATOMIC_SPECIES
Pm 145.00 Pm.upf
P 30.97 P.upf
N 14.01 N.upf
CELL_PARAMETERS angstrom
-2.3372 2.3372 7.6250
2.3372 -2.3372 7.6250
2.3372 2.3372 -7.6250
ATOMIC_POSITIONS angstrom
Pm 2.3372 0.0000 0.0000
Pm 0.0000 0.0000 2.6361
Pm 0.0000 2.3372 0.0000
Pm 0.0000 0.0000 12.6140
P 0.0000 0.0000 5.5552
P 0.0000 0.0000 9.6948
N 0.0000 0.0000 0.0000
```


Record 7
A plane-wave DFT calculation with PBE was carried out for an optimized crystal structure of Pm2PN. Values from VASP.

Summary:
Space-group type: No. 166
Crystal system: trigonal
Energy above the lowest structure with this stoichiometry (meV per atom): 0
Final energy (eV/cell): -28.72
V (Å³/cell): 82

```
&SYSTEM
  ibrav = 0, nat = 4, ntyp = 3
/
ATOMIC_SPECIES
Pm 145.00 Pm.upf
P 30.97 P.upf
N 14.01 N.upf
CELL_PARAMETERS angstrom
1.9198 1.1084 6.4292
-1.9198 1.1084 6.4292
0.0000 -2.2168 6.4292
ATOMIC_POSITIONS angstrom
Pm 0.0000 0.0000 4.6299
Pm 0.0000 0.0000 14.6578
P 0.0000 0.0000 0.0000
N 0.0000 0.0000 9.6438
```


Record 8
A plane-wave DFT calculation with PBE was carried out for an optimized crystal structure of PmPN3. Values from VASP.

Summary:
Space-group type: No. 221
Crystal system: cubic
Final energy (eV/cell): -36.52
V (Å³/cell): 50

```
&SYSTEM
  ibrav = 0, nat = 5, ntyp = 3
/
ATOMIC_SPECIES
Pm 145.00 Pm.upf
P 30.97 P.upf
N 14.01 N.upf
CELL_PARAMETERS angstrom
3.6772 0.0000 0.0000
0.0000 3.6772 0.0000
0.0000 0.0000 3.6772
ATOMIC_POSITIONS angstrom
Pm 0.0000 0.0000 0.0000
P 1.8386 1.8386 1.8386
N 0.0000 1.8386 1.8386
N 1.8386 0.0000 1.8386
N 1.8386 1.8386 0.0000
```


Record 9
A plane-wave DFT calculation with PBE was carried out for an optimized crystal structure of PmP2N4. Values from VASP.

Summary:
Space-group type: No. 1
Crystal system: triclinic
Final energy (eV/cell): -106.21
V (Å³/cell): 165

```
&SYSTEM
  ibrav = 0, nat = 14, ntyp = 3
/
ATOMIC_SPECIES
Pm 145.00 Pm.upf
P 30.97 P.upf
N 14.01 N.upf
CELL_PARAMETERS angstrom
5.5663 0.0000 0.0000
-2.1627 5.3992 0.0000
-1.4879 -1.5191 5.4739
ATOMIC_POSITIONS angstrom
Pm 0.0000 0.0000 0.0000
Pm -1.2888 3.6221 3.0269
P -1.1449 0.8117 3.4315
P 0.8751 4.7463 1.2259
P 1.8093 2.0898 1.9145
P 1.6776 0.9125 4.6800
N 0.2185 0.2037 4.2834
N 0.5250 3.1065 1.6222
N 1.7393 0.3936 1.7182
N -0.4116 3.3126 5.1566
N 1.9835 2.3049 3.6117
N 3.0832 2.6440 0.8877
N 3.1116 0.1891 4.3560
N 4.3986 -0.2708 2.1100
```


Record 10
A plane-wave DFT calculation with PBE was carried out for an optimized crystal structure of PmPrPN. Values from VASP.

Summary:
Space-group type: No. 166
Crystal system: trigonal
Final energy (eV/cell): -55.42
V (Å³/cell): 192

```
&SYSTEM
  ibrav = 0, nat = 8, ntyp = 4
/
ATOMIC_SPECIES
Pm 145.00 Pm.upf
Pr 140.91 Pr.upf
P 30.97 P.upf
N 14.01 N.upf
CELL_PARAMETERS angstrom
2.0137 1.1626 13.6648
-2.0137 1.1626 13.6648
0.0000 -2.3252 13.6648
ATOMIC_POSITIONS angstrom
Pm 0.0000 0.0000 8.4862
Pm 0.0000 0.0000 32.5082
Pr 0.0000 0.0000 15.5833
Pr 0.0000 0.0000 25.4111
P 0.0000 0.0000 0.0000
P 0.0000 0.0000 20.4972
N 0.0000 0.0000 10.6713
N 0.0000 0.0000 30.3231
```


Record 11
A plane-wave DFT calculation with PBE was carried out for an optimized crystal structure of Pm2PrP2N6. Values from VASP.

Summary:
Space-group type: No. 147
Crystal system: trigonal
Final energy (eV/cell): -84.35
V (Å³/cell): 181

```
&SYSTEM
  ibrav = 0, nat = 11, ntyp = 4
/
ATOMIC_SPECIES
Pm 145.00 Pm.upf
Pr 140.91 Pr.upf
P 30.97 P.upf
N 14.01 N.upf
CELL_PARAMETERS angstrom
5.8229 0.0000 0.0000
-2.9114 5.0428 0.0000
0.0000 0.0000 6.1492
ATOMIC_POSITIONS angstrom
Pm 0.0000 3.3618 2.2087
Pm 2.9114 1.6809 3.9405
Pr 0.0000 0.0000 0.0000
P 0.0000 3.3618 5.0308
P 2.9114 1.6809 1.1184
N -0.6848 1.9403 4.6552
N -0.8887 4.6656 4.6552
N 1.3380 1.5632 1.4940
N 1.5735 3.4796 4.6552
N 3.8001 0.3771 1.4940
N 3.5962 3.1025 1.4940
```


Record 12
A plane-wave DFT calculation with PBE was carried out for an optimized crystal structure of PmPuP2N6. Values from VASP.

Summary:
Space-group type: No. 15
Crystal system: monoclinic
Final energy (eV/cell): -174.47
V (Å³/cell): 258

```
&SYSTEM
  ibrav = 0, nat = 20, ntyp = 4
/
ATOMIC_SPECIES
Pm 145.00 Pm.upf
Pu 244.00 Pu.upf
P 30.97 P.upf
N 14.01 N.upf
CELL_PARAMETERS angstrom
5.0044 -5.0071 0.0000
5.0044 5.0071 0.0000
-1.1623 0.0000 5.1424
ATOMIC_POSITIONS angstrom
Pm 4.1327 4.0112 3.8568
Pm 4.7139 -4.0112 1.2856
Pu 4.7139 1.8438 1.2856
Pu 4.1327 -1.8438 3.8568
P 2.0345 0.8071 3.8285
P 2.6157 -0.8071 1.2573
P 6.2309 0.8071 3.8851
P 6.8120 -0.8071 1.3139
N 0.4785 1.1090 3.5490
N 2.8339 2.0617 4.5198
N 1.0596 -1.1090 0.9778
N 2.8600 0.4449 2.3886
N 2.2788 -0.4449 4.9597
N 5.4315 2.0617 3.1938
N 3.4151 -2.0617 1.9486
N 6.5678 0.4449 0.1826
N 5.9866 -0.4449 2.7538
N 7.7870 1.1090 4.1646
N 6.0126 -2.0617 0.6226
N 8.3681 -1.1090 1.5934
```


Record 13
A plane-wave DFT calculation with PBE was carried out for an optimized crystal structure of RbPmPN3. Values from VASP.

Summary:
Space-group type: No. 12
Crystal system: monoclinic
Final energy (eV/cell): -75.99
V (Å³/cell): 193

```
&SYSTEM
  ibrav = 0, nat = 12, ntyp = 4
/
ATOMIC_SPECIES
Rb 85.47 Rb.upf
Pm 145.00 Pm.upf
P 30.97 P.upf
N 14.01 N.upf
CELL_PARAMETERS angstrom
6.3551 -1.9038 0.0000
6.3551 1.9038 0.0000
-2.3101 0.0000 7.9914
ATOMIC_POSITIONS angstrom
Rb 1.6685 0.0000 0.5077
Rb 8.7316 0.0000 7.4836
Pm 0.5735 0.0000 4.6368
Pm 9.8265 0.0000 3.3545
P 4.5962 0.0000 5.5975
P 5.8039 0.0000 2.3939
N -0.5859 0.0000 2.5535
N 2.9834 0.0000 5.1199
N 4.2392 0.0000 1.8355
N 6.1609 0.0000 6.1559
N 7.4167 0.0000 2.8714
N 10.9859 0.0000 5.4379
```


Record 14
A plane-wave DFT calculation with PBE was carried out for an optimized crystal structure of RbPm2P2N6. Values from VASP.

Summary:
Space-group type: No. 12
Crystal system: monoclinic
Final energy (eV/cell): -78.75
V (Å³/cell): 211

```
&SYSTEM
  ibrav = 0, nat = 11, ntyp = 4
/
ATOMIC_SPECIES
Rb 85.47 Rb.upf
Pm 145.00 Pm.upf
P 30.97 P.upf
N 14.01 N.upf
CELL_PARAMETERS angstrom
5.6897 -3.2504 0.0000
5.6897 3.2504 0.0000
-3.2430 0.0000 5.7147
ATOMIC_POSITIONS angstrom
Rb 0.0000 0.0000 0.0000
Pm 1.4099 0.0000 3.9807
Pm 6.7265 0.0000 1.7340
P 3.1081 0.0000 1.4642
P 5.0284 0.0000 4.2505
N 2.3447 1.3142 1.9060
N 4.5011 0.0000 0.7387
N 5.7918 1.3142 3.8088
N 2.3447 -1.3142 1.9060
N 3.6353 0.0000 4.9760
N 5.7918 -1.3142 3.8088
```


Record 15
A plane-wave DFT calculation with PBE was carried out for an optimized crystal structure of PmPRhN. Values from VASP.

Summary:
Space-group type: No. 129
Crystal system: tetragonal
Final energy (eV/cell): -61.08
V (Å³/cell): 123

```
&SYSTEM
  ibrav = 0, nat = 8, ntyp = 4
/
ATOMIC_SPECIES
Pm 145.00 Pm.upf
P 30.97 P.upf
Rh 102.91 Rh.upf
N 14.01 N.upf
CELL_PARAMETERS angstrom
3.8850 0.0000 0.0000
0.0000 3.8850 0.0000
0.0000 0.0000 8.1364
ATOMIC_POSITIONS angstrom
Pm 0.9712 0.9712 1.3243
Pm 2.9137 2.9137 6.8121
P 0.9712 0.9712 5.4001
P 2.9137 2.9137 2.7362
Rh 0.9712 2.9137 4.0682
Rh 2.9137 0.9712 4.0682
N 0.9712 0.9712 7.0839
N 2.9137 2.9137 1.0525
```


Record 16
A plane-wave DFT calculation with PBE was carried out for an optimized crystal structure of Pm2P2RhN6. Values from VASP.

Summary:
Space-group type: No. 166
Crystal system: trigonal
Final energy (eV/cell): -83.67
V (Å³/cell): 138

```
&SYSTEM
  ibrav = 0, nat = 11, ntyp = 4
/
ATOMIC_SPECIES
Pm 145.00 Pm.upf
P 30.97 P.upf
Rh 102.91 Rh.upf
N 14.01 N.upf
CELL_PARAMETERS angstrom
2.7226 1.5719 5.3839
-2.7226 1.5719 5.3839
0.0000 -3.1438 5.3839
ATOMIC_POSITIONS angstrom
Pm 0.0000 0.0000 3.4579
Pm 0.0000 0.0000 12.6939
P 0.0000 0.0000 7.0047
P 0.0000 0.0000 9.1471
Rh 0.0000 0.0000 0.0000
N -1.3878 -0.8012 9.3842
N 0.0000 -1.6025 6.7676
N -1.3878 0.8012 6.7676
N 1.3878 -0.8012 9.3842
N 0.0000 1.6025 9.3842
N 1.3878 0.8012 6.7676
```


Record 17
A plane-wave DFT calculation with PBE was carried out for an optimized crystal structure of Pm2P2Ru2N. Values from VASP.

Summary:
Space-group type: No. 12
Crystal system: monoclinic
Final energy (eV/cell): -54.04
V (Å³/cell): 121

```
&SYSTEM
  ibrav = 0, nat = 7, ntyp = 4
/
ATOMIC_SPECIES
Pm 145.00 Pm.upf
P 30.97 P.upf
Ru 101.07 Ru.upf
N 14.01 N.upf
CELL_PARAMETERS angstrom
5.6638 -1.9500 0.0000
5.6638 1.9500 0.0000
-3.9898 0.0000 5.4709
ATOMIC_POSITIONS angstrom
Pm -0.4848 0.0000 1.6389
Pm 7.8225 0.0000 3.8320
P 2.4903 0.0000 1.5760
P 4.8475 0.0000 3.8949
Ru -0.2526 0.0000 4.9869
Ru 7.5904 0.0000 0.4839
N 5.6638 0.0000 0.0000
```


Record 18
A plane-wave DFT calculation with PBE was carried out for an optimized crystal structure of Pm2P2RuN6. Values from VASP.

Summary:
Space-group type: No. 166
Crystal system: trigonal
Final energy (eV/cell): -85.81
V (Å³/cell): 138

```
&SYSTEM
  ibrav = 0, nat = 11, ntyp = 4
/
ATOMIC_SPECIES
Pm 145.00 Pm.upf
P 30.97 P.upf
Ru 101.07 Ru.upf
N 14.01 N.upf
CELL_PARAMETERS angstrom
2.7314 1.5770 5.3310
-2.7314 1.5770 5.3310
0.0000 -3.1539 5.3310
ATOMIC_POSITIONS angstrom
Pm 0.0000 0.0000 3.4414
Pm 0.0000 0.0000 12.5517
P 0.0000 0.0000 6.9432
P 0.0000 0.0000 9.0500
Ru 0.0000 0.0000 0.0000
N -1.3839 -0.7990 9.3240
N 0.0000 -1.5980 6.6691
N -1.3839 0.7990 6.6691
N 1.3839 -0.7990 9.3240
N 0.0000 1.5980 9.3240
N 1.3839 0.7990 6.6691
```


Record 19
A plane-wave DFT calculation with PBE was carried out for an optimized crystal structure of Pm6P2S3N. Values from VASP.

Summary:
Space-group type: No. 12
Crystal system: monoclinic
Final energy (eV/cell): -81.50
V (Å³/cell): 274

```
&SYSTEM
  ibrav = 0, nat = 12, ntyp = 4
/
ATOMIC_SPECIES
Pm 145.00 Pm.upf
P 30.97 P.upf
S 32.06 S.upf
N 14.01 N.upf
CELL_PARAMETERS angstrom
8.7857 -1.9893 0.0000
8.7857 1.9893 0.0000
-1.9753 0.0000 7.8378
ATOMIC_POSITIONS angstrom
Pm -0.4296 0.0000 1.7171
Pm 16.0258 0.0000 6.1207
Pm 5.0313 0.0000 3.2884
Pm 4.3182 0.0000 7.2284
Pm 11.2780 0.0000 0.6094
Pm 10.5649 0.0000 4.5494
P 2.2512 0.0000 2.5965
P 13.3450 0.0000 5.2412
S 1.3176 0.0000 6.5554
S 7.7981 0.0000 3.9189
S 14.2786 0.0000 1.2824
N 8.7857 0.0000 0.0000
```


Record 20
A plane-wave DFT calculation with PBE was carried out for an optimized crystal structure of Pm6P2SN3. Values from VASP.

Summary:
Space-group type: No. 12
Crystal system: monoclinic
Final energy (eV/cell): -86.66
V (Å³/cell): 243

```
&SYSTEM
  ibrav = 0, nat = 12, ntyp = 4
/
ATOMIC_SPECIES
Pm 145.00 Pm.upf
P 30.97 P.upf
S 32.06 S.upf
N 14.01 N.upf
CELL_PARAMETERS angstrom
8.4518 -1.9103 0.0000
8.4518 1.9103 0.0000
-1.9863 0.0000 7.5341
ATOMIC_POSITIONS angstrom
Pm -0.3306 0.0000 1.7281
Pm 4.6460 0.0000 3.2627
Pm 3.9383 0.0000 6.7900
Pm 10.9790 0.0000 0.7440
Pm 10.2713 0.0000 4.2714
Pm 15.2479 0.0000 5.8060
P 1.1413 0.0000 6.2620
P 13.7760 0.0000 1.2721
S 7.4587 0.0000 3.7670
N 2.1443 0.0000 2.5285
N 8.4518 0.0000 0.0000
N 12.7730 0.0000 5.0056
```